(1)
Material: CoWBr2
Method: DFT, meta-GGA SCAN
State: PBEsol geometry

a = 3.1088 Å, b = 3.1088 Å, c = 7.5768 Å
α = 90.00°, β = 90.00°, γ = 90.00°
Site moments in Bohr magnetons follow the coordinates.
Atoms (fractional coordinates):
1 Br 0.5000 0.5000 0.3441  0.03
2 Br 0.0000 0.0000 0.9341  -0.02
3 Co 0.0000 0.0000 0.5277  0.65
4 W 0.5000 0.5000 0.6941  0.01

## Properties
Formation energy (no corrections) in eV per formula unit: 2.04
Crystal system: tetragonal
N(E_F) in states/eV/f.u.: 1.438
DFT total energy in eV per formula unit: -123.87

=====

(2)
Material: ZrMnAl2
Method: DFT, meta-GGA SCAN
State: PBEsol geometry

a = 4.4198 Å, b = 4.4198 Å, c = 4.4198 Å
α = 60.00°, β = 60.00°, γ = 60.00°
Site moments in Bohr magnetons follow the coordinates.
Atoms (fractional coordinates):
1 Zr 0.5000 0.5000 0.5000  0.10
2 Al 0.7500 0.7500 0.7500  -0.01
3 Al 0.2500 0.2500 0.2500  -0.01
4 Mn 0.0000 0.0000 0.0000  3.37

## Properties
Crystal system: cubic
DFT formation energy in eV/atom: -0.254
N(E_F) in states/eV/f.u.: 3.042
DFT total energy in eV per formula unit: -65.47

=====

(3)
Material: In2FeP
Method: DFT, meta-GGA SCAN
State: PBEsol geometry

a = 2.9336 Å, b = 2.9336 Å, c = 8.0855 Å
α = 90.00°, β = 90.00°, γ = 90.00°
Site moments in Bohr magnetons follow the coordinates.
Atoms (fractional coordinates):
1 In 0.5000 0.5000 0.2868  -0.01
2 In 0.0000 0.0000 0.9401  0.01
3 Fe 0.5000 0.5000 0.6956  1.57
4 P 0.0000 0.0000 0.5775  -0.04

## Properties
Crystal system: tetragonal
DFT formation energy in eV/atom: 0.093
N(E_F) in states/eV/f.u.: 2.060
DFT total energy in eV per formula unit: -94.93

=====

(4)
Material: Cd3Rh
Method: DFT, meta-GGA SCAN
State: PBEsol geometry

a = 4.6303 Å, b = 4.6303 Å, c = 4.6303 Å
α = 60.00°, β = 60.00°, γ = 60.00°
Atoms (fractional coordinates):
1 Cd 0.2500 0.2500 0.2500
2 Cd 0.0000 0.0000 0.0000
3 Cd 0.7500 0.7500 0.7500
4 Rh 0.5000 0.5000 0.5000

## Properties
Crystal system: cubic
DFT formation energy in eV/atom: -0.057
N(E_F) in states/eV/f.u.: 1.566
DFT total energy in eV per formula unit: -125.24

=====

(5)
Material: CdInAg2
Method: DFT, meta-GGA SCAN
State: PBEsol geometry

a = 3.1266 Å, b = 5.0195 Å, c = 5.1480 Å
α = 100.63°, β = 90.00°, γ = 108.15°
Atoms (fractional coordinates):
1 In 0.5000 0.0000 0.0000
2 Ag 0.7492 0.4985 0.7483
3 Ag 0.2508 0.5015 0.2517
4 Cd 0.0000 0.0000 0.5000

## Properties
Crystal system: monoclinic
DFT formation energy in eV/atom: 0.024
N(E_F) in states/eV/f.u.: 1.153
DFT total energy in eV per formula unit: -126.44

=====

(6)
Material: HgAs2PbBr
Method: DFT, meta-GGA SCAN
State: PBEsol geometry

a = 5.0666 Å, b = 5.0666 Å, c = 5.6557 Å
α = 90.00°, β = 90.00°, γ = 90.00°
Site moments in Bohr magnetons follow the coordinates.
Atoms (fractional coordinates):
1 Br 0.0000 0.0000 0.5000  0.08
2 As 0.0000 0.5000 0.0000  0.24
3 As 0.5000 0.0000 0.0000  0.24
4 Hg 0.0000 0.0000 0.0000  0.01
5 Pb 0.5000 0.5000 0.5000  -0.07

## Properties
Formation energy (no corrections) in eV per formula unit: 2.68
Crystal system: tetragonal
N(E_F) in states/eV/f.u.: 2.831
DFT total energy in eV per formula unit: -201.11

=====

(7)
Material: CoAs2Au
Method: DFT, meta-GGA SCAN
State: PBEsol geometry

a = 2.8124 Å, b = 4.3837 Å, c = 5.9646 Å
α = 111.56°, β = 103.64°, γ = 90.00°
Site moments in Bohr magnetons follow the coordinates.
Atoms (fractional coordinates):
1 As 0.6757 0.6757 0.3514  -0.02
2 As 0.3243 0.3243 0.6486  -0.02
3 Co 0.0000 0.5000 0.0000  1.10
4 Au 0.5000 0.0000 0.0000  0.00

## Properties
Distance to the lowest polymorph of the same formula in meV/atom: 0.0
Crystal system: orthorhombic
DFT formation energy in eV/atom: 0.086
N(E_F) in states/eV/f.u.: 1.357
DFT total energy in eV per formula unit: -126.50

=====

(8)
Material: KGaTc3
Method: DFT, meta-GGA SCAN
State: PBEsol geometry

a = 4.6919 Å, b = 4.6919 Å, c = 4.6919 Å
α = 90.00°, β = 90.00°, γ = 90.00°
Site moments in Bohr magnetons follow the coordinates.
Atoms (fractional coordinates):
1 Tc 0.0000 0.0000 0.5000  1.73
2 Tc 0.0000 0.5000 0.0000  1.73
3 Tc 0.5000 0.0000 0.0000  1.73
4 Ga 0.0000 0.0000 0.0000  -0.02
5 K 0.5000 0.5000 0.5000  0.03

## Properties
Crystal system: cubic
DFT formation energy in eV/atom: 1.715
N(E_F) in states/eV/f.u.: 6.807
DFT total energy in eV per formula unit: -121.28